Cr2PdS4 after structural relaxation, computed with PBE.

Results
- E_tot: -89.9 eV/cell
- Volume: 246 Å³ per cell

abc: 7.0293 7.0293 7.0453
angles: 60.02 60.02 89.94
Last column: nearest neighbours and their distance in Å.
Positions (direct):
Pd 0.1252 0.3748 0.2500  4 S 2.35
Pd 0.8748 0.6252 0.7500  4 S 2.35
Cr 0.5000 0.0000 0.5000  6 S 2.38
Cr 0.5000 0.5000 0.5000  6 S 2.38
Cr 0.0000 0.0000 0.0000  6 S 2.38
Cr 0.5000 0.0000 0.0000  6 S 2.38
S 0.2622 0.7845 0.9760  1 Pd 2.35, 3 Cr 2.38
S 0.2845 0.7622 0.4760  1 Pd 2.35, 3 Cr 2.38
S 0.2606 0.2383 0.5240  1 Pd 2.35, 3 Cr 2.38
S 0.2617 0.2394 0.9760  1 Pd 2.35, 3 Cr 2.38
S 0.7378 0.2155 0.0240  1 Pd 2.35, 3 Cr 2.38
S 0.7383 0.7606 0.0240  1 Pd 2.35, 3 Cr 2.38
S 0.7394 0.7617 0.4760  1 Pd 2.35, 3 Cr 2.38
S 0.7155 0.2378 0.5240  1 Pd 2.35, 3 Cr 2.38

=====

SnRuS2N after structural relaxation, computed with PBE.

Results
- E_tot: -23.1 eV/cell
- Volume: 102 Å³ per cell

abc: 5.0573 5.0573 4.0069
angles: 90.00 90.00 90.00
Last column: nearest neighbours and their distance in Å.
Positions (direct):
Sn 0.0000 0.0000 0.0000  2 N 2.00
S 0.0000 0.5000 0.0000  2 Sn 2.53
S 0.5000 0.0000 0.0000  2 Sn 2.53
N 0.0000 0.0000 0.5000  2 Sn 2.00
Ru 0.5000 0.5000 0.5000  8 S 3.23, 4 N 3.58

=====

Repeat the second record exactly.
SnRuS2N after structural relaxation, computed with PBE.

Results
- E_tot: -23.1 eV/cell
- Volume: 102 Å³ per cell

abc: 5.0573 5.0573 4.0069
angles: 90.00 90.00 90.00
Last column: nearest neighbours and their distance in Å.
Positions (direct):
Sn 0.0000 0.0000 0.0000  2 N 2.00
S 0.0000 0.5000 0.0000  2 Sn 2.53
S 0.5000 0.0000 0.0000  2 Sn 2.53
N 0.0000 0.0000 0.5000  2 Sn 2.00
Ru 0.5000 0.5000 0.5000  8 S 3.23, 4 N 3.58

=====

Question: Among the records above, which one has the lowest E_tot?
Answer: Cr2PdS4

=====

Please write out number 2 again, unchanged.
SnRuS2N after structural relaxation, computed with PBE.

Results
- E_tot: -23.1 eV/cell
- Volume: 102 Å³ per cell

abc: 5.0573 5.0573 4.0069
angles: 90.00 90.00 90.00
Last column: nearest neighbours and their distance in Å.
Positions (direct):
Sn 0.0000 0.0000 0.0000  2 N 2.00
S 0.0000 0.5000 0.0000  2 Sn 2.53
S 0.5000 0.0000 0.0000  2 Sn 2.53
N 0.0000 0.0000 0.5000  2 Sn 2.00
Ru 0.5000 0.5000 0.5000  8 S 3.23, 4 N 3.58

=====

Question: What is the volume in the second record?
Answer: 102 Å³ per cell